First-principles (PBE) data for an optimized crystal structure of Nb2PdPt3, as listed in OQMD via LeMat-Bulk.

POSCAR file:
```
Nb2PdPt3
1.0
-2.4883 0.9925 0.9174
0.1773 -2.4583 3.1404
4.0585 6.0263 4.4882
Pd Nb Pt
1 2 3
direct
0.0000 0.0000 0.6658
0.5000 0.5000 0.4989
0.0000 0.0000 0.9998
0.5000 0.5000 0.8329
0.5000 0.5000 0.1643
0.0000 0.0000 0.3383
```

## Properties
For the formation enthalpy at 0 K, the calculation gives -0.64 eV/atom. As for the space group: Pmm2, No. 25. The calculated total energy comes out at -47.39 eV per cell.